Record 1
Pm2GaGe3Ir4: optimized geometry, GGA-PBE.

a b c (Å): 4.2486 4.2486 10.2699
angles (deg): 90.00 90.00 90.00
Last column: nearest neighbours and their distance in Å.
Element x y z (fractional)
Pm  0.0000  0.5000  0.2479  8 Ir 3.23-3.35, 6 Ge 3.25-3.32, 2 Ga 3.32
Pm  0.5000  0.0000  0.7521  8 Ir 3.23-3.35, 6 Ge 3.25-3.32, 2 Ga 3.32
Ga  0.5000  0.5000  0.0000  4 Ir 2.52
Ge  0.0000  0.0000  0.0000  4 Ir 2.52
Ge  0.0000  0.5000  0.6309  5 Ir 2.44-2.51
Ge  0.5000  0.0000  0.3691  5 Ir 2.44-2.51
Ir  0.0000  0.0000  0.5000  4 Ge 2.51
Ir  0.0000  0.5000  0.8684  3 Ge 2.44-2.52, 2 Ga 2.52
Ir  0.5000  0.0000  0.1316  3 Ge 2.44-2.52, 2 Ga 2.52
Ir  0.5000  0.5000  0.5000  4 Ge 2.51

Summary:
Magnetization in μB/cell: 0.0
Energy relative to the elements in eV/atom: -0.7750
Electronic total energy in eV for the cell shown: -69.57
N(E_F) in states/eV/cell: 6.58

Record 2
CsGa4Se7: optimized geometry, GGA-PBE.

a b c (Å): 15.9153 6.7615 6.4529
angles (deg): 90.00 90.00 90.00
Last column: nearest neighbours and their distance in Å.
Element x y z (fractional)
Cs  0.0000  0.1833  0.0000  12 Se 3.83-4.08
Cs  0.5000  0.8167  0.5000  12 Se 3.83-4.08
Ga  0.1225  0.6684  0.6187  4 Se 2.43-2.49
Ga  0.2488  0.1813  0.5972  4 Se 2.40-2.52
Ga  0.2512  0.8187  0.0972  4 Se 2.40-2.52
Ga  0.3775  0.3316  0.1187  4 Se 2.43-2.49
Ga  0.6225  0.3316  0.1187  4 Se 2.43-2.49
Ga  0.7488  0.8187  0.0972  4 Se 2.40-2.52
Ga  0.7512  0.1813  0.5972  4 Se 2.40-2.52
Ga  0.8775  0.6684  0.6187  4 Se 2.43-2.49
Se  0.0000  0.8413  0.4795  2 Ga 2.44
Se  0.1183  0.3303  0.4926  2 Ga 2.40-2.43
Se  0.1179  0.6844  0.9949  2 Ga 2.40-2.43
Se  0.2471  0.1716  0.9874  3 Ga 2.49-2.52
Se  0.2529  0.8284  0.4874  3 Ga 2.49-2.52
Se  0.3821  0.3156  0.4949  2 Ga 2.40-2.43
Se  0.3817  0.6697  0.9926  2 Ga 2.40-2.43
Se  0.5000  0.1587  0.9795  2 Ga 2.44
Se  0.6179  0.3156  0.4949  2 Ga 2.40-2.43
Se  0.6183  0.6697  0.9926  2 Ga 2.40-2.43
Se  0.7471  0.8284  0.4874  3 Ga 2.49-2.52
Se  0.7529  0.1716  0.9874  3 Ga 2.49-2.52
Se  0.8817  0.3303  0.4926  2 Ga 2.40-2.43
Se  0.8821  0.6844  0.9949  2 Ga 2.40-2.43

Summary:
Magnetization in μB/cell: 1.9
Electronic total energy in eV for the cell shown: -90.69
N(E_F) in states/eV/cell: 19.57
Formation energy from raw total energies in eV/f.u.: -7.99